# 1
Crystalline LiGe2Sb at its relaxed geometry. Source: Alexandria, functional PBE.

DOS at the Fermi energy ... 0.94 states/eV/f.u.
Uncorrected formation energy ... 259 meV/atom
V ... 222 Å³/cell

Cell lengths 6.469, 6.469, 6.998 Å; angles 62.47, 62.47, 90.00 degrees
Fractional positions:
Sb  0.750  0.250  0.500
Sb  0.000  0.000  0.000
Li  0.500  0.500  0.000
Li  0.250  0.750  0.500
Ge  0.137  0.625  0.250
Ge  0.875  0.863  0.750
Ge  0.613  0.125  0.250
Ge  0.375  0.387  0.750



# 2
Crystalline LaNiHgIr2 at its relaxed geometry. Source: Alexandria, functional PBE.

DOS at the Fermi energy ... 6.42 states/eV/f.u.
DFT formation energy ... 0.2910 eV/atom
V ... 105 Å³/cell

Cell lengths 4.711, 4.732, 4.711 Å; angles 90.00, 90.00, 90.00 degrees
Last column: magnetic moment on the atom in μB.
Fractional positions:
La  0.500  0.500  0.500  -0.01
Hg  0.000  0.500  0.000  -0.01
Ni  0.000  0.000  0.000  0.60
Ir  0.000  0.000  0.500  0.49
Ir  0.500  0.000  0.000  0.20



# 3
Crystalline Rb4IF2 at its relaxed geometry. Source: Alexandria, functional PBE.

DOS at the Fermi energy ... 1.58 states/eV/f.u.
Uncorrected formation energy ... -1602 meV/atom
V ... 367 Å³/cell

Cell lengths 6.740, 6.740, 9.387 Å; angles 68.96, 68.96, 90.00 degrees
Fractional positions:
Rb  0.755  0.755  0.489
Rb  0.500  0.000  0.000
Rb  0.245  0.245  0.511
Rb  0.000  0.500  0.000
I  0.000  0.000  0.000
F  0.604  0.604  0.792
F  0.396  0.396  0.208



# 4
Crystalline Ac8GaGe2 at its relaxed geometry. Source: Alexandria, functional PBE.

DOS at the Fermi energy ... 11.23 states/eV/f.u.
DFT formation energy ... -0.2800 eV/atom
V ... 406 Å³/cell

Cell lengths 5.435, 7.368, 10.681 Å; angles 100.89, 104.74, 90.00 degrees
Fractional positions:
Ac  0.790  0.659  0.580
Ac  0.589  0.457  0.178
Ac  0.971  0.222  0.943
Ac  0.029  0.778  0.057
Ac  0.210  0.341  0.420
Ac  0.662  0.990  0.325
Ac  0.338  0.010  0.675
Ac  0.411  0.543  0.822
Ga  0.500  0.000  0.000
Ge  0.813  0.233  0.626
Ge  0.187  0.767  0.374



# 5
Crystalline PmDyRhI at its relaxed geometry. Source: Alexandria, functional PBE.

DOS at the Fermi energy ... 0.20 states/eV/f.u.
Uncorrected formation energy ... -940 meV/atom
V ... 117 Å³/cell

Cell lengths 4.103, 4.103, 8.381 Å; angles 90.00, 104.17, 120.00 degrees
Fractional positions:
Pm  0.514  0.155  0.685
I  0.965  0.381  0.360
Rh  0.307  0.552  0.875
Dy  0.091  0.944  0.050



# 6
Crystalline Rb2SbPdO4 at its relaxed geometry. Source: Alexandria, functional PBE.

DOS at the Fermi energy ... 0.56 states/eV/f.u.
Uncorrected formation energy ... -985 meV/atom
V ... 377 Å³/cell

Cell lengths 6.114, 7.226, 9.908 Å; angles 82.50, 72.03, 64.97 degrees
Last column: magnetic moment on the atom in μB.
Fractional positions:
Rb  0.179  0.000  0.642  0.00
Rb  0.821  0.000  0.358  0.00
Rb  0.571  0.500  0.858  0.00
Rb  0.929  0.500  0.142  0.00
O  0.904  0.688  0.577  0.07
O  0.581  0.188  0.077  0.07
O  0.342  0.812  0.077  0.07
O  0.519  0.312  0.577  0.07
O  0.231  0.188  0.923  0.07
O  0.846  0.812  0.923  0.07
O  0.408  0.688  0.423  0.07
O  0.169  0.312  0.423  0.07
Pd  0.000  0.000  0.000  0.69
Pd  0.750  0.500  0.500  0.69
Sb  0.250  0.500  0.500  0.00
Sb  0.500  0.000  0.000  0.00